No. 1
A plane-wave DFT calculation with GGA-PBE was carried out for a geometry-optimized HoTa2S6 structure.

crystal system: monoclinic

Unit cell a=6.301 b=6.301 c=8.366 alpha=115.19 beta=115.19 gamma=44.91
Sites, in units of the cell vectors:
Ho 0.000 0.000 0.000
Ta 0.190 0.190 0.580
Ta 0.810 0.810 0.420
S 0.019 0.019 0.691
S 0.308 0.308 0.400
S 0.351 0.351 0.888
S 0.649 0.649 0.112
S 0.692 0.692 0.600
S 0.981 0.981 0.309

---

No. 2
A plane-wave DFT calculation with GGA-PBE was carried out for a geometry-optimized TaFe2ReH structure.

crystal system: tetragonal
distance to the lowest polymorph of the same formula: 2 meV per atom

Unit cell a=3.768 b=3.768 c=3.934 alpha=90.00 beta=90.00 gamma=90.00
Sites, in units of the cell vectors:
Ta 0.000 0.000 0.000
Fe 0.000 0.500 0.500
Fe 0.500 0.000 0.500
Re 0.500 0.500 0.000
H 0.000 0.000 0.500

---

Taking the records one at a time from the top gives total moment values of 0.000 0.211 μB per atom.
Taking the records one at a time from the top gives raw total energy values of -7.01 -8.90 eV per atom.